Entry from Alexandria: a relaxed structure of Tb6Pr2DyTm (PBE).

Properties
Calculated formation energy   1.2 eV/f.u.
Density of states at the Fermi level   27.37 states/eV per cell
Volume   328.91 Å³/f.u.
Space-group type   C2/c (15)

abc: 9.7464 8.8012 8.8012
angles: 118.08 94.63 94.63
Element x y z (fractional)
Tb  0.0569  0.1247  0.7447
Tb  0.4431  0.2553  0.8753
Tb  0.9431  0.8753  0.2553
Tb  0.5569  0.7447  0.1247
Tb  0.3115  0.9802  0.4243
Tb  0.1885  0.5757  0.0198
Tb  0.6885  0.0198  0.5757
Tb  0.8115  0.4243  0.9802
Tb  0.1194  0.7070  0.4967
Tb  0.3806  0.5033  0.2930
Tb  0.8806  0.2930  0.5033
Tb  0.6194  0.4967  0.7070
Pr  0.4579  0.8057  0.7031
Pr  0.0421  0.2969  0.1943
Pr  0.5421  0.1943  0.2969
Pr  0.9579  0.7031  0.8057
Dy  0.2500  0.9826  0.0174
Dy  0.7500  0.0174  0.9826
Tm  0.2500  0.4068  0.5932
Tm  0.7500  0.5932  0.4068

---

Entry from Alexandria: a relaxed structure of Tb2Pr2DyTm4 (PBE).

Properties
Calculated formation energy   0.0 eV/f.u.
Density of states at the Fermi level   12.51 states/eV per cell
Volume   287.49 Å³/f.u.
Space-group type   C2/m (12)

abc: 3.5916 9.4867 9.5400
angles: 115.25 90.00 100.91
Element x y z (fractional)
Tb  0.8533  0.7067  0.3389
Tb  0.1467  0.2933  0.6611
Pr  0.3348  0.6696  0.9992
Pr  0.6652  0.3304  0.0008
Dy  0.0000  0.0000  0.0000
Tm  0.8147  0.6295  0.6623
Tm  0.1853  0.3705  0.3377
Tm  0.5198  0.0396  0.3350
Tm  0.4802  0.9604  0.6650

---

Entry from Alexandria: a relaxed structure of TbPr3Dy6Tm2 (PBE).

Properties
Calculated formation energy   0.3 eV/f.u.
Density of states at the Fermi level   16.01 states/eV per cell
Volume   388.25 Å³/f.u.
Space-group type   C2/m (12)

abc: 6.2008 6.2008 11.8394
angles: 95.00 95.00 119.99
Element x y z (fractional)
Tb  0.0000  0.0000  0.0000
Pr  0.1668  0.8332  0.5000
Pr  0.8332  0.1668  0.5000
Pr  0.5000  0.5000  0.5000
Dy  0.9182  0.5845  0.7554
Dy  0.7480  0.7480  0.2446
Dy  0.0818  0.4155  0.2446
Dy  0.5845  0.9182  0.7554
Dy  0.2520  0.2520  0.7554
Dy  0.4155  0.0818  0.2446
Tm  0.3333  0.6667  0.0000
Tm  0.6667  0.3333  0.0000

---

Entry from Alexandria: a relaxed structure of Tb2PrDyTm4 (PBE).

Properties
Calculated formation energy   3.5 eV/f.u.
Density of states at the Fermi level   35.69 states/eV per cell
Volume   262.07 Å³/f.u.
Space-group type   C2/c (15)

abc: 9.4595 9.4595 11.7087
angles: 128.23 128.23 88.75
Each line ends with the local moment (μB).
Element x y z (fractional)
Tb  0.5000  0.0000  0.0000  0.28
Tb  0.5000  0.0000  0.5000  0.28
Tb  0.0000  0.0000  0.5000  0.26
Tb  0.5000  0.5000  0.0000  0.26
Pr  0.5000  0.5000  0.5000  0.19
Pr  0.0000  0.0000  0.0000  0.19
Dy  0.0000  0.5000  0.0000  0.28
Dy  0.0000  0.5000  0.5000  0.28
Tm  0.2521  0.7476  0.9999  0.26
Tm  0.7524  0.2479  0.5001  0.26
Tm  0.2476  0.7521  0.4999  0.26
Tm  0.7479  0.2524  0.0001  0.26
Tm  0.7495  0.7489  0.0021  0.25
Tm  0.7511  0.7505  0.4980  0.25
Tm  0.2489  0.2495  0.5021  0.25
Tm  0.2505  0.2511  0.9980  0.25

---

Entry from Alexandria: a relaxed structure of Tb2PrDyTm5 (PBE).

Properties
Calculated formation energy   2.5 eV/f.u.
Density of states at the Fermi level   21.11 states/eV per cell
Volume   287.01 Å³/f.u.
Space-group type   I4/mcm (140)

abc: 8.8381 8.8381 9.6467
angles: 117.26 117.26 90.00
Element x y z (fractional)
Tb  0.1135  0.3865  0.0000
Tb  0.6135  0.1135  0.0000
Tb  0.3865  0.8865  0.0000
Tb  0.8865  0.6135  0.0000
Pr  0.2500  0.2500  0.5000
Pr  0.7500  0.7500  0.5000
Dy  0.2500  0.7500  0.5000
Dy  0.7500  0.2500  0.5000
Tm  0.9266  0.4266  0.2654
Tm  0.6612  0.1612  0.7346
Tm  0.0734  0.5734  0.7346
Tm  0.1612  0.0734  0.7346
Tm  0.5734  0.6612  0.7346
Tm  0.8388  0.9266  0.2654
Tm  0.4266  0.3388  0.2654
Tm  0.3388  0.8388  0.2654
Tm  0.5000  0.5000  0.0000
Tm  0.0000  0.0000  0.0000

---

Entry from Alexandria: a relaxed structure of TbPr6DyTm2 (PBE).

Properties
Calculated formation energy   1.1 eV/f.u.
Density of states at the Fermi level   29.72 states/eV per cell
Volume   343.74 Å³/f.u.
Space-group type   C2/c (15)

abc: 9.6844 8.9806 8.9806
angles: 117.39 93.92 93.92
Element x y z (fractional)
Tb  0.2500  0.9705  0.0295
Tb  0.7500  0.0295  0.9705
Pr  0.0544  0.1126  0.7634
Pr  0.4456  0.2366  0.8874
Pr  0.9456  0.8874  0.2366
Pr  0.5544  0.7634  0.1126
Pr  0.3126  0.9935  0.4379
Pr  0.1874  0.5621  0.0065
Pr  0.6874  0.0065  0.5621
Pr  0.8126  0.4379  0.9935
Pr  0.1177  0.7052  0.4875
Pr  0.3823  0.5125  0.2948
Pr  0.8823  0.2948  0.5125
Pr  0.6177  0.4875  0.7052
Dy  0.2500  0.4112  0.5888
Dy  0.7500  0.5888  0.4112
Tm  0.4523  0.7997  0.7048
Tm  0.0477  0.2952  0.2003
Tm  0.5477  0.2003  0.2952
Tm  0.9523  0.7048  0.7997

---

Entry from Alexandria: a relaxed structure of Tb5PrDy2Tm (PBE).

Properties
Calculated formation energy   2.7 eV/f.u.
Density of states at the Fermi level   25.03 states/eV per cell
Volume   297.62 Å³/f.u.
Space-group type   I4/mcm (140)

abc: 9.0804 9.0804 9.6614
angles: 118.03 118.03 90.00
Element x y z (fractional)
Tb  0.9265  0.4265  0.2614
Tb  0.6651  0.1651  0.7386
Tb  0.0735  0.5735  0.7386
Tb  0.1651  0.0735  0.7386
Tb  0.5735  0.6651  0.7386
Tb  0.8349  0.9265  0.2614
Tb  0.4265  0.3349  0.2614
Tb  0.3349  0.8349  0.2614
Tb  0.5000  0.5000  0.0000
Tb  0.0000  0.0000  0.0000
Pr  0.2500  0.2500  0.5000
Pr  0.7500  0.7500  0.5000
Dy  0.1110  0.3890  0.0000
Dy  0.6110  0.1110  0.0000
Dy  0.3890  0.8890  0.0000
Dy  0.8890  0.6110  0.0000
Tm  0.2500  0.7500  0.5000
Tm  0.7500  0.2500  0.5000

---

Entry from Alexandria: a relaxed structure of TbPr5Dy2Tm (PBE).

Properties
Calculated formation energy   1.2 eV/f.u.
Density of states at the Fermi level   28.53 states/eV per cell
Volume   313.62 Å³/f.u.
Space-group type   Cmc2_1 (36)

abc: 5.6547 10.6958 10.7532
angles: 90.00 90.00 105.33
Element x y z (fractional)
Tb  0.8016  0.6032  0.5105
Tb  0.1984  0.3968  0.0105
Pr  0.3829  0.7657  0.0204
Pr  0.7209  0.4418  0.8132
Pr  0.4852  0.9704  0.7458
Pr  0.2957  0.5913  0.7062
Pr  0.9853  0.9706  0.5152
Pr  0.6171  0.2343  0.5204
Pr  0.2791  0.5582  0.3132
Pr  0.5148  0.0296  0.2458
Pr  0.7043  0.4087  0.2062
Pr  0.0147  0.0294  0.0152
Dy  0.8858  0.7716  0.8051
Dy  0.1126  0.2252  0.7400
Dy  0.1142  0.2284  0.3051
Dy  0.8874  0.7748  0.2400
Tm  0.5941  0.1882  0.9676
Tm  0.4059  0.8118  0.4676

---

Entry from Alexandria: a relaxed structure of Tb2Pr2DyTm2 (PBE).

Properties
Calculated formation energy   0.6 eV/f.u.
Density of states at the Fermi level   11.20 states/eV per cell
Volume   231.27 Å³/f.u.
Space-group type   C2/m (12)

abc: 3.5235 6.1216 11.8709
angles: 71.43 90.00 106.73
Element x y z (fractional)
Tb  0.4502  0.9004  0.7671
Tb  0.5498  0.0996  0.2329
Pr  0.6700  0.3401  0.9150
Pr  0.3300  0.6599  0.0850
Dy  0.0000  0.0000  0.5000
Tm  0.7734  0.5467  0.3660
Tm  0.2266  0.4533  0.6340

---

Entry from Alexandria: a relaxed structure of TbPr3DyTm (PBE).

Properties
Calculated formation energy   0.1 eV/f.u.
Density of states at the Fermi level   16.06 states/eV per cell
Volume   201.92 Å³/f.u.
Space-group type   P2_1/m (11)

abc: 3.6248 10.8887 10.8552
angles: 109.52 90.00 90.00
Element x y z (fractional)
Tb  0.2500  0.1206  0.2956
Tb  0.7500  0.8794  0.7044
Pr  0.7500  0.8751  0.0462
Pr  0.2500  0.1249  0.9538
Pr  0.2500  0.6302  0.4573
Pr  0.7500  0.3698  0.5427
Pr  0.7500  0.3750  0.2061
Pr  0.2500  0.6250  0.7939
Dy  0.2500  0.6267  0.1261
Dy  0.7500  0.3733  0.8739
Tm  0.2500  0.1221  0.6234
Tm  0.7500  0.8779  0.3766

---

Entry from Alexandria: a relaxed structure of TbPrDyTm (PBE).

Properties
Calculated formation energy   0.5 eV/f.u.
Density of states at the Fermi level   7.30 states/eV per cell
Volume   130.87 Å³/f.u.
Space-group type   F-43m (216)

abc: 5.6988 5.6988 5.6988
angles: 60.00 60.00 60.00
Element x y z (fractional)
Pr  0.2500  0.2500  0.2500
Tm  0.5000  0.5000  0.5000
Tb  0.7500  0.7500  0.7500
Dy  0.0000  0.0000  0.0000

---

Entry from Alexandria: a relaxed structure of TbPrDyTm (PBE).

Properties
Calculated formation energy   0.8 eV/f.u.
Density of states at the Fermi level   8.12 states/eV per cell
Volume   130.87 Å³/f.u.
Space-group type   Pmm2 (25)

abc: 3.4449 6.7581 5.6213
angles: 90.01 90.00 90.00
Element x y z (fractional)
Tb  0.0000  0.9339  0.5161
Pr  0.0000  0.4526  0.5166
Dy  0.0000  0.1930  0.0162
Tm  0.5000  0.7009  0.0163

---

Entry from Alexandria: a relaxed structure of TbPr6Dy2Tm3 (PBE).

Properties
Calculated formation energy   0.2 eV/f.u.
Density of states at the Fermi level   12.56 states/eV per cell
Volume   398.84 Å³/f.u.
Space-group type   C2/m (12)

abc: 6.2874 6.2874 11.8355
angles: 95.07 95.07 119.99
Element x y z (fractional)
Tb  0.0000  0.0000  0.0000
Pr  0.9159  0.5825  0.7483
Pr  0.7507  0.7507  0.2518
Pr  0.0841  0.4175  0.2517
Pr  0.5825  0.9159  0.7483
Pr  0.2493  0.2493  0.7482
Pr  0.4175  0.0841  0.2517
Dy  0.3334  0.6666  0.0000
Dy  0.6666  0.3334  0.0000
Tm  0.1668  0.8332  0.5000
Tm  0.8332  0.1668  0.5000
Tm  0.5000  0.5000  0.5000

---

Entry from Alexandria: a relaxed structure of Tb2Pr5DyTm (PBE).

Properties
Calculated formation energy   1.2 eV/f.u.
Density of states at the Fermi level   28.07 states/eV per cell
Volume   313.48 Å³/f.u.
Space-group type   Cmc2_1 (36)

abc: 5.6753 10.6799 10.7296
angles: 90.00 90.00 105.41
Element x y z (fractional)
Tb  0.8853  0.7705  0.8067
Tb  0.1133  0.2266  0.7391
Tb  0.1147  0.2295  0.3067
Tb  0.8867  0.7734  0.2391
Pr  0.3815  0.7629  0.0200
Pr  0.7213  0.4426  0.8142
Pr  0.4848  0.9695  0.7454
Pr  0.2957  0.5915  0.7069
Pr  0.9848  0.9696  0.5150
Pr  0.6185  0.2371  0.5200
Pr  0.2787  0.5574  0.3142
Pr  0.5152  0.0305  0.2454
Pr  0.7043  0.4085  0.2069
Pr  0.0152  0.0304  0.0150
Dy  0.5939  0.1879  0.9658
Dy  0.4061  0.8121  0.4658
Tm  0.8022  0.6043  0.5108
Tm  0.1978  0.3957  0.0108

---

Entry from Alexandria: a relaxed structure of TbPr4Dy2Tm (PBE).

Properties
Calculated formation energy   0.1 eV/f.u.
Density of states at the Fermi level   10.37 states/eV per cell
Volume   268.73 Å³/f.u.
Space-group type   Pmmm (47)

abc: 5.1796 5.1520 11.3129
angles: 62.89 90.00 90.00
Element x y z (fractional)
Tb  0.5000  0.5000  0.0000
Pr  0.0000  0.7517  0.7486
Pr  0.0000  0.2483  0.2514
Pr  0.5000  0.7486  0.2512
Pr  0.5000  0.2514  0.7488
Dy  0.0000  0.0000  0.0000
Dy  0.5000  0.0000  0.5000
Tm  0.0000  0.5000  0.5000

---

Entry from Alexandria: a relaxed structure of TbPr2Dy5Tm (PBE).

Properties
Calculated formation energy   2.5 eV/f.u.
Density of states at the Fermi level   24.15 states/eV per cell
Volume   294.13 Å³/f.u.
Space-group type   I4/mcm (140)

abc: 8.6102 8.6102 10.0015
angles: 115.50 115.50 90.00
Element x y z (fractional)
Tb  0.2500  0.2500  0.5000
Tb  0.7500  0.7500  0.5000
Pr  0.1189  0.3811  0.0000
Pr  0.6189  0.1189  0.0000
Pr  0.3811  0.8811  0.0000
Pr  0.8811  0.6189  0.0000
Dy  0.9275  0.4275  0.2834
Dy  0.6441  0.1441  0.7166
Dy  0.0725  0.5725  0.7166
Dy  0.1441  0.0725  0.7166
Dy  0.5725  0.6441  0.7166
Dy  0.8559  0.9275  0.2834
Dy  0.4275  0.3559  0.2834
Dy  0.3559  0.8559  0.2834
Dy  0.5000  0.5000  0.0000
Dy  0.0000  0.0000  0.0000
Tm  0.2500  0.7500  0.5000
Tm  0.7500  0.2500  0.5000

---

Entry from Alexandria: a relaxed structure of Tb3Pr2DyTm6 (PBE).

Properties
Calculated formation energy   0.3 eV/f.u.
Density of states at the Fermi level   14.81 states/eV per cell
Volume   377.38 Å³/f.u.
Space-group type   C2/m (12)

abc: 6.1517 6.1517 11.6923
angles: 95.02 95.02 119.97
Element x y z (fractional)
Tb  0.1667  0.8333  0.5000
Tb  0.8333  0.1667  0.5000
Tb  0.5000  0.5000  0.5000
Pr  0.3335  0.6665  0.0000
Pr  0.6665  0.3335  0.0000
Dy  0.0000  0.0000  0.0000
Tm  0.9155  0.5827  0.7475
Tm  0.7520  0.7520  0.2528
Tm  0.0845  0.4173  0.2525
Tm  0.5827  0.9155  0.7475
Tm  0.2480  0.2480  0.7472
Tm  0.4173  0.0845  0.2525

---

Entry from Alexandria: a relaxed structure of TbPr6Dy3Y2 (PBE).

Properties
Calculated formation energy   0.1 eV/f.u.
Density of states at the Fermi level   13.56 states/eV per cell
Volume   405.99 Å³/f.u.
Space-group type   C2/m (12)

abc: 6.3216 6.3216 11.9180
angles: 95.06 95.06 120.00
Element x y z (fractional)
Tb  0.0000  0.0000  0.0000
Pr  0.9163  0.5837  0.7491
Pr  0.7510  0.7510  0.2508
Pr  0.0837  0.4163  0.2509
Pr  0.5837  0.9163  0.7491
Pr  0.2490  0.2490  0.7492
Pr  0.4163  0.0837  0.2509
Dy  0.1667  0.8333  0.5000
Dy  0.8333  0.1667  0.5000
Dy  0.5000  0.5000  0.5000
Y  0.3334  0.6666  0.0000
Y  0.6666  0.3334  0.0000

---

Entry from Alexandria: a relaxed structure of Tb6PrDyY2 (PBE).

Properties
Calculated formation energy   1.3 eV/f.u.
Density of states at the Fermi level   30.39 states/eV per cell
Volume   329.40 Å³/f.u.
Space-group type   C2/c (15)

abc: 9.5899 8.8272 8.8272
angles: 117.28 93.78 93.78
Element x y z (fractional)
Tb  0.0567  0.1170  0.7545
Tb  0.4433  0.2455  0.8830
Tb  0.9433  0.8830  0.2455
Tb  0.5567  0.7545  0.1170
Tb  0.3170  0.9771  0.4297
Tb  0.1830  0.5703  0.0229
Tb  0.6830  0.0229  0.5703
Tb  0.8170  0.4297  0.9771
Tb  0.1194  0.7070  0.4892
Tb  0.3806  0.5108  0.2930
Tb  0.8806  0.2930  0.5108
Tb  0.6194  0.4892  0.7070
Pr  0.2500  0.4065  0.5935
Pr  0.7500  0.5935  0.4065
Dy  0.2500  0.9716  0.0284
Dy  0.7500  0.0284  0.9716
Y  0.4542  0.8050  0.7049
Y  0.0458  0.2951  0.1950
Y  0.5458  0.1950  0.2951
Y  0.9542  0.7049  0.8050